1.
Entry from Alexandria: an optimized crystal structure of Na5B2P3O13 (GGA-PBEsol).

abc: 6.729 7.688 11.601
angles: 90.00 90.00 115.01
Element x y z (fractional)
Na (0.379, 0.722, 0.099)
Na (0.477, 0.519, 0.330)
Na (0.355, 0.731, 0.609)
Na (0.902, 0.959, 0.236)
Na (0.098, 0.041, 0.736)
Na (0.949, 0.487, 0.331)
Na (0.621, 0.278, 0.599)
Na (0.051, 0.513, 0.831)
Na (0.645, 0.269, 0.109)
Na (0.523, 0.481, 0.830)
B (0.790, 0.000, 0.514)
B (0.133, 0.993, 0.464)
B (0.210, 0.000, 0.014)
B (0.867, 0.007, 0.964)
P (0.159, 0.322, 0.562)
P (0.843, 0.691, 0.578)
P (0.500, 0.008, 0.349)
P (0.500, 0.992, 0.849)
P (0.841, 0.678, 0.062)
P (0.157, 0.309, 0.078)
O (0.250, 0.962, 0.367)
O (0.735, 0.821, 0.025)
O (0.742, 0.560, 0.477)
O (0.734, 0.837, 0.599)
O (0.265, 0.179, 0.525)
O (0.907, 0.162, 0.054)
O (0.750, 0.596, 0.179)
O (0.072, 0.012, 0.925)
O (0.258, 0.440, 0.977)
O (0.750, 0.038, 0.867)
O (0.807, 0.530, 0.969)
O (0.835, 0.588, 0.691)
O (0.165, 0.412, 0.191)
O (0.485, 0.150, 0.776)
O (0.193, 0.470, 0.469)
O (0.928, 0.988, 0.425)
O (0.515, 0.850, 0.276)
O (0.250, 0.404, 0.679)
O (0.423, 0.006, 0.978)
O (0.906, 0.182, 0.582)
O (0.266, 0.163, 0.099)
O (0.372, 0.791, 0.804)
O (0.628, 0.209, 0.304)
O (0.577, 0.994, 0.478)
O (0.093, 0.838, 0.554)
O (0.094, 0.818, 0.082)

Output
The calculation puts the magnetization at 0.000 μB/atom. The formation energy (no corrections) comes out at -2.317 eV per atom.

***

2.
Entry from Alexandria: an optimized crystal structure of Na2SnBPO7 (GGA-PBEsol).

abc: 5.325 6.648 9.784
angles: 90.00 95.12 90.00
Element x y z (fractional)
Na (0.246, 0.496, 0.831)
Na (0.246, 0.004, 0.831)
Na (0.754, 0.504, 0.169)
Na (0.754, 0.996, 0.169)
Sn (0.781, 0.250, 0.647)
Sn (0.219, 0.750, 0.353)
B (0.724, 0.250, 0.901)
B (0.276, 0.750, 0.099)
P (0.743, 0.750, 0.565)
P (0.257, 0.250, 0.435)
O (0.317, 0.750, 0.968)
O (0.959, 0.250, 0.843)
O (0.527, 0.250, 0.790)
O (0.821, 0.936, 0.653)
O (0.821, 0.564, 0.653)
O (0.129, 0.250, 0.570)
O (0.451, 0.750, 0.531)
O (0.549, 0.250, 0.469)
O (0.871, 0.750, 0.430)
O (0.179, 0.436, 0.347)
O (0.179, 0.064, 0.347)
O (0.473, 0.750, 0.210)
O (0.041, 0.750, 0.157)
O (0.683, 0.250, 0.032)

Output
The calculation puts the magnetization at 0.005 μB/atom. The formation energy (no corrections) comes out at -2.053 eV per atom.

***

3.
Entry from Alexandria: an optimized crystal structure of Na3VBPO7 (GGA-PBEsol).

abc: 5.233 6.492 8.886
angles: 90.00 91.43 90.00
Each line ends with the local moment (μB).
Element x y z (fractional)
Na (0.760, 0.250, 0.928)  0.00
Na (0.240, 0.750, 0.072)  0.00
Na (0.250, 0.003, 0.744)  0.00
Na (0.250, 0.497, 0.744)  0.00
Na (0.750, 0.503, 0.256)  0.00
Na (0.750, 0.997, 0.256)  0.00
V (0.777, 0.750, 0.667)  1.85
V (0.223, 0.250, 0.333)  1.85
B (0.727, 0.750, 0.935)  0.01
B (0.273, 0.250, 0.065)  0.01
P (0.718, 0.250, 0.577)  0.01
P (0.282, 0.750, 0.423)  0.01
O (0.307, 0.250, 0.916)  0.00
O (0.693, 0.750, 0.084)  0.00
O (0.964, 0.750, 0.865)  -0.01
O (0.036, 0.250, 0.135)  -0.01
O (0.526, 0.750, 0.826)  -0.01
O (0.474, 0.250, 0.174)  -0.01
O (0.429, 0.250, 0.535)  0.00
O (0.571, 0.750, 0.465)  0.00
O (0.122, 0.750, 0.566)  0.00
O (0.878, 0.250, 0.434)  0.00
O (0.784, 0.060, 0.677)  -0.01
O (0.784, 0.440, 0.677)  -0.01
O (0.216, 0.560, 0.323)  -0.01
O (0.216, 0.940, 0.323)  -0.01

Output
The calculation puts the magnetization at 0.154 μB/atom. The formation energy (no corrections) comes out at -2.209 eV per atom.

***

4.
Entry from Alexandria: an optimized crystal structure of NaB5PbO9 (GGA-PBEsol).

abc: 6.527 8.547 13.215
angles: 90.00 90.00 105.00
Element x y z (fractional)
Na (0.533, 0.867, 0.589)
Na (0.467, 0.633, 0.089)
Na (0.467, 0.133, 0.411)
Na (0.533, 0.367, 0.911)
B (0.581, 0.619, 0.746)
B (0.419, 0.881, 0.246)
B (0.419, 0.381, 0.254)
B (0.581, 0.119, 0.754)
B (0.089, 0.366, 0.939)
B (0.911, 0.134, 0.439)
B (0.911, 0.634, 0.061)
B (0.089, 0.866, 0.561)
B (0.836, 0.228, 0.613)
B (0.164, 0.272, 0.113)
B (0.164, 0.772, 0.387)
B (0.836, 0.728, 0.887)
B (0.453, 0.644, 0.349)
B (0.547, 0.856, 0.849)
B (0.547, 0.356, 0.651)
B (0.453, 0.144, 0.151)
B (0.792, 0.752, 0.448)
B (0.208, 0.748, 0.948)
B (0.208, 0.248, 0.552)
B (0.792, 0.252, 0.052)
Pb (0.089, 0.557, 0.716)
Pb (0.911, 0.943, 0.216)
Pb (0.911, 0.443, 0.284)
Pb (0.089, 0.057, 0.784)
O (0.488, 0.746, 0.758)
O (0.512, 0.754, 0.258)
O (0.512, 0.254, 0.242)
O (0.488, 0.246, 0.742)
O (0.168, 0.421, 0.848)
O (0.832, 0.079, 0.348)
O (0.832, 0.579, 0.152)
O (0.168, 0.921, 0.652)
O (0.770, 0.374, 0.629)
O (0.230, 0.126, 0.129)
O (0.230, 0.626, 0.371)
O (0.770, 0.874, 0.871)
O (0.580, 0.718, 0.437)
O (0.420, 0.782, 0.937)
O (0.420, 0.282, 0.563)
O (0.580, 0.218, 0.063)
O (0.747, 0.603, 0.807)
O (0.253, 0.897, 0.307)
O (0.253, 0.397, 0.193)
O (0.747, 0.103, 0.693)
O (0.929, 0.730, 0.373)
O (0.071, 0.770, 0.873)
O (0.071, 0.270, 0.627)
O (0.929, 0.230, 0.127)
O (0.772, 0.151, 0.515)
O (0.228, 0.349, 0.015)
O (0.228, 0.849, 0.485)
O (0.772, 0.651, 0.985)
O (0.870, 0.817, 0.542)
O (0.130, 0.683, 0.042)
O (0.130, 0.183, 0.458)
O (0.870, 0.317, 0.958)
O (0.497, 0.510, 0.673)
O (0.503, 0.990, 0.173)
O (0.503, 0.490, 0.327)
O (0.497, 0.010, 0.827)

Output
The calculation puts the magnetization at 0.000 μB/atom. The formation energy (no corrections) comes out at -2.302 eV per atom.

***

5.
Entry from Alexandria: an optimized crystal structure of RbNa2BO3 (GGA-PBEsol).

abc: 5.562 5.666 6.081
angles: 90.00 90.00 90.00
Element x y z (fractional)
Rb (0.896, 0.500, 0.500)
Rb (0.104, 0.000, 0.000)
Na (0.368, 0.500, 0.769)
Na (0.368, 0.500, 0.231)
Na (0.632, 0.000, 0.731)
Na (0.632, 0.000, 0.269)
B (0.790, 0.500, 0.000)
B (0.210, 0.000, 0.500)
O (0.658, 0.289, 0.000)
O (0.342, 0.211, 0.500)
O (0.039, 0.500, 0.000)
O (0.961, 0.000, 0.500)
O (0.342, 0.789, 0.500)
O (0.658, 0.711, 0.000)

Output
The calculation puts the magnetization at 0.000 μB/atom. The formation energy (no corrections) comes out at -1.967 eV per atom.

***

6.
Entry from Alexandria: an optimized crystal structure of Na5BS4O16 (GGA-PBEsol).

abc: 8.558 9.309 16.770
angles: 90.00 90.00 90.00
Element x y z (fractional)
Na (0.778, 0.660, 0.208)
Na (0.722, 0.340, 0.708)
Na (0.278, 0.840, 0.792)
Na (0.222, 0.160, 0.292)
Na (0.329, 0.452, 0.425)
Na (0.171, 0.548, 0.925)
Na (0.829, 0.048, 0.575)
Na (0.671, 0.952, 0.075)
Na (0.974, 0.506, 0.565)
Na (0.526, 0.494, 0.065)
Na (0.474, 0.994, 0.435)
Na (0.026, 0.006, 0.935)
Na (0.157, 0.784, 0.342)
Na (0.343, 0.216, 0.842)
Na (0.657, 0.716, 0.658)
Na (0.843, 0.284, 0.158)
Na (0.833, 0.111, 0.369)
Na (0.667, 0.889, 0.869)
Na (0.333, 0.389, 0.631)
Na (0.167, 0.611, 0.131)
B (0.721, 0.516, 0.384)
B (0.779, 0.484, 0.884)
B (0.221, 0.984, 0.616)
B (0.279, 0.016, 0.116)
S (0.003, 0.454, 0.300)
S (0.497, 0.546, 0.800)
S (0.503, 0.046, 0.700)
S (0.997, 0.954, 0.200)
S (0.796, 0.758, 0.461)
S (0.704, 0.242, 0.961)
S (0.296, 0.742, 0.539)
S (0.204, 0.258, 0.039)
S (0.561, 0.369, 0.268)
S (0.939, 0.631, 0.768)
S (0.061, 0.131, 0.732)
S (0.439, 0.869, 0.232)
S (0.673, 0.328, 0.505)
S (0.827, 0.672, 0.005)
S (0.173, 0.172, 0.495)
S (0.327, 0.828, 0.995)
O (0.127, 0.530, 0.343)
O (0.373, 0.470, 0.843)
O (0.627, 0.970, 0.657)
O (0.873, 0.030, 0.157)
O (0.006, 0.478, 0.214)
O (0.494, 0.522, 0.714)
O (0.506, 0.022, 0.786)
O (0.994, 0.978, 0.286)
O (0.996, 0.302, 0.321)
O (0.504, 0.698, 0.821)
O (0.496, 0.198, 0.679)
O (0.004, 0.802, 0.179)
O (0.724, 0.901, 0.458)
O (0.776, 0.099, 0.958)
O (0.224, 0.599, 0.542)
O (0.276, 0.401, 0.042)
O (0.804, 0.702, 0.543)
O (0.696, 0.298, 0.043)
O (0.304, 0.798, 0.457)
O (0.196, 0.202, 0.957)
O (0.947, 0.753, 0.422)
O (0.553, 0.247, 0.922)
O (0.447, 0.747, 0.578)
O (0.053, 0.253, 0.078)
O (0.666, 0.246, 0.277)
O (0.834, 0.754, 0.777)
O (0.166, 0.254, 0.723)
O (0.334, 0.746, 0.223)
O (0.396, 0.335, 0.267)
O (0.104, 0.665, 0.767)
O (0.896, 0.165, 0.733)
O (0.604, 0.835, 0.233)
O (0.610, 0.460, 0.201)
O (0.890, 0.540, 0.701)
O (0.110, 0.040, 0.799)
O (0.390, 0.960, 0.299)
O (0.774, 0.314, 0.576)
O (0.726, 0.686, 0.076)
O (0.274, 0.186, 0.424)
O (0.226, 0.814, 0.924)
O (0.527, 0.404, 0.521)
O (0.973, 0.596, 0.021)
O (0.027, 0.096, 0.479)
O (0.473, 0.904, 0.979)
O (0.650, 0.189, 0.466)
O (0.850, 0.811, 0.966)
O (0.150, 0.311, 0.534)
O (0.350, 0.689, 0.034)
O (0.844, 0.529, 0.323)
O (0.656, 0.471, 0.823)
O (0.344, 0.971, 0.677)
O (0.156, 0.029, 0.177)
O (0.680, 0.660, 0.413)
O (0.820, 0.340, 0.913)
O (0.180, 0.840, 0.587)
O (0.320, 0.160, 0.087)
O (0.575, 0.464, 0.347)
O (0.925, 0.536, 0.847)
O (0.075, 0.036, 0.653)
O (0.425, 0.964, 0.153)
O (0.778, 0.421, 0.448)
O (0.722, 0.579, 0.948)
O (0.278, 0.079, 0.552)
O (0.222, 0.921, 0.052)

Output
The calculation puts the magnetization at 0.004 μB/atom. The formation energy (no corrections) comes out at -1.788 eV per atom.